Entry from Alexandria via LeMat-Bulk: an optimized crystal structure of LiCr2F2 (GGA+U).

Values from the calculation:
ΔE to the lowest computed polymorph (meV per atom): 0.0
Total magnetization (μB per cell): 17.99

a b c (Å): 6.158 6.158 4.148
angles (deg): 90.00 90.00 90.00
Element x y z (fractional)
Li 0.000 0.000 0.000
Li 0.500 0.500 0.000
Cr 0.249 0.251 0.500
Cr 0.251 0.751 0.500
Cr 0.749 0.249 0.500
Cr 0.751 0.749 0.500
F 0.249 0.251 0.000
F 0.251 0.751 0.000
F 0.749 0.249 0.000
F 0.751 0.749 0.000